# SrScP2

A relaxed structure of SrScP2 (PBE-GGA, Alexandria).

Properties
Uncorrected energy (eV per atom): -5.403
Symmetry: Fm-3m
Magnetization (μB/f.u.): 0.0
Fermi-level density of states (states/eV per cell): 2.75

a b c (Å): 4.9373 4.9373 4.9373
angles (deg): 60.00 60.00 60.00
Closest atoms and distances in Å follow each position.
Fractional positions:
Sc (0.0000, 0.0000, 0.0000)  8 P 3.02
Sr (0.5000, 0.5000, 0.5000)  8 P 3.02
P (0.2500, 0.2500, 0.2500)  4 Sr 3.02, 4 Sc 3.02
P (0.7500, 0.7500, 0.7500)  4 Sc 3.02, 4 Sr 3.02


# SrScP

A relaxed structure of SrScP (PBE-GGA, Alexandria).

Properties
Uncorrected energy (eV per atom): -5.051
Symmetry: F-43m
Magnetization (μB/f.u.): 0.0
Fermi-level density of states (states/eV per cell): 3.55

a b c (Å): 4.7647 4.7647 4.7647
angles (deg): 60.00 60.00 60.00
Closest atoms and distances in Å follow each position.
Fractional positions:
Sr (0.5000, 0.5000, 0.5000)  4 P 2.92
Sc (0.0000, 0.0000, 0.0000)  4 P 2.92
P (0.2500, 0.2500, 0.2500)  4 Sr 2.92, 4 Sc 2.92